# 1
CsSnPb2S4 after structural relaxation, computed with GGA-PBE.

## Properties
For the total energy, the calculation gives -4.077 eV/atom.

extended XYZ file:
```
16
Lattice="8.644 -0.005 0.037 -0.012 8.644 0.037 -4.242 -4.245 6.069" Properties=species:S:1:pos:R:3 pbc="T T T"
Pb -2.121 -2.122 3.034
Pb 4.316 4.319 0.037
S 4.177 -0.107 2.846
S 2.293 6.664 0.263
Sn 2.195 2.197 3.071
S 2.112 2.396 6.094
Cs 6.517 2.194 3.090
Sn 4.402 -4.250 6.105
Pb 4.322 -0.003 0.019
S 2.097 -2.270 5.880
S 4.192 4.477 3.119
Pb 2.201 -2.125 3.053
Cs -0.006 4.322 0.019
S 0.199 -0.083 3.023
S 2.279 1.998 0.048
S 0.213 4.500 3.297
```

---

# 2
Cs2TaPb2S6 after structural relaxation, computed with GGA-PBE.

## Properties
For the total energy, the calculation gives -5.011 eV/atom.

extended XYZ file:
```
11
Lattice="-4.465 5.340 0.021 -0.904 -5.153 -4.592 -2.731 -4.001 6.993" Properties=species:S:1:pos:R:3 pbc="T T T"
Cs -3.840 3.499 -0.788
Ta -1.366 -2.000 3.497
S -3.499 -1.158 4.452
S -2.084 -1.255 1.247
S -6.017 -2.558 1.175
S -4.601 -2.656 -2.029
Pb -4.648 -0.145 1.985
S -5.632 0.381 -0.695
Pb -3.453 -3.668 0.437
S -2.469 -4.194 3.117
Cs -1.529 -3.312 -3.782
```

---

# 3
CsTaPbS4 after structural relaxation, computed with GGA-PBE.

## Properties
For the total energy, the calculation gives -5.692 eV/atom.

extended XYZ file:
```
14
Lattice="7.104 0.000 0.008 0.000 7.237 0.000 -2.776 0.000 9.035" Properties=species:S:1:pos:R:3 pbc="T T T"
S 5.026 3.615 6.366
Cs 1.729 1.809 0.555
Cs 2.599 5.428 8.488
S 5.026 0.004 6.366
S -0.698 3.623 2.677
Ta 0.677 5.428 3.013
Pb 0.151 1.809 4.933
S 2.871 1.809 3.894
S 1.457 5.428 5.149
S -0.698 7.233 2.677
Ta 3.652 1.809 6.030
S 2.460 5.428 1.588
Pb 4.177 5.428 4.110
S 1.868 1.809 7.455
```

---

# 4
Cs2TaPbS4 after structural relaxation, computed with GGA-PBE.

## Properties
For the total energy, the calculation gives -5.089 eV/atom.

extended XYZ file:
```
16
Lattice="7.356 0.000 0.000 3.678 7.041 0.000 3.678 0.000 12.304" Properties=species:S:1:pos:R:3 pbc="T T T"
Cs 9.195 3.520 10.519
S 11.523 4.895 7.390
Cs 9.195 3.520 1.785
Cs 7.356 0.000 4.367
Ta 3.678 0.000 0.000
S 5.029 1.375 1.238
Pb 9.195 3.520 6.152
S 6.005 1.375 11.066
Cs 3.678 0.000 7.937
S 4.166 2.145 4.914
Pb 0.000 0.000 0.000
S 12.385 5.666 11.066
S 6.005 5.666 1.238
S 6.868 4.895 4.914
Ta 5.517 3.520 6.152
S 6.868 2.145 7.390
```

---

# 5
Cs3Tb2PbS6 after structural relaxation, computed with GGA-PBE.

## Properties
For the total energy, the calculation gives -4.775 eV/atom.

extended XYZ file:
```
12
Lattice="-4.597 5.120 2.216 -0.721 -6.786 2.383 6.620 2.221 4.689" Properties=species:S:1:pos:R:3 pbc="T T T"
S 0.651 2.587 7.311
S 0.651 -2.033 1.977
Cs 1.955 -3.731 4.700
S -2.590 -0.785 4.159
Tb -2.012 -2.823 2.327
Cs -0.654 4.285 4.588
S 3.892 1.339 5.129
S 1.988 -1.522 7.368
Pb 0.000 0.000 0.000
Cs 0.651 0.277 4.644
S -0.687 2.076 1.920
Tb -3.307 1.156 2.271
```

---

# 6
Cs2TePb2S2 after structural relaxation, computed with GGA-PBE.

## Properties
For the total energy, the calculation gives -3.641 eV/atom.

extended XYZ file:
```
7
Lattice="4.849 0.000 0.000 2.425 8.693 -0.483 2.425 2.980 7.142" Properties=species:S:1:pos:R:3 pbc="T T T"
Cs 4.849 7.451 2.104
Pb 4.849 8.582 6.001
S 2.425 4.684 1.370
Cs 4.849 4.222 4.555
Pb 4.849 3.090 0.657
Te 0.000 0.000 0.000
S 7.274 6.989 5.289
```

---

# 7
Cs2Te2Pb2S after structural relaxation, computed with GGA-PBE.

## Properties
For the total energy, the calculation gives -3.513 eV/atom.

extended XYZ file:
```
7
Lattice="5.278 0.001 0.000 2.640 8.190 1.603 -0.001 3.751 8.152" Properties=species:S:1:pos:R:3 pbc="T T T"
Te 2.640 7.633 6.282
Cs 5.278 10.273 7.971
Te 5.278 4.310 3.473
Cs 2.639 1.669 1.784
Pb 5.279 5.757 6.291
S 0.000 0.000 0.000
Pb 2.638 6.185 3.464
```

---

# 8
Cs2ThPbS4 after structural relaxation, computed with GGA-PBE.

## Properties
For the total energy, the calculation gives -5.062 eV/atom.

extended XYZ file:
```
8
Lattice="-0.766 4.152 0.924 -2.999 -2.229 7.531 5.809 0.009 4.774" Properties=species:S:1:pos:R:3 pbc="T T T"
Cs 5.809 0.009 4.774
Cs 2.522 2.081 2.849
S 2.260 -1.530 8.750
S 2.801 1.382 6.220
Th 1.405 -1.110 6.153
S -0.215 3.463 4.479
S -0.757 0.550 7.010
Pb -1.882 0.962 4.228
```

---

# 9
CsTlPb2S4 after structural relaxation, computed with GGA-PBE.

## Properties
For the total energy, the calculation gives -3.822 eV/atom.

extended XYZ file:
```
16
Lattice="-0.436 -5.745 6.521 3.154 -6.214 -5.211 4.443 7.164 1.073" Properties=species:S:1:pos:R:3 pbc="T T T"
Tl 4.007 1.419 7.594
S 4.813 -2.728 -1.707
Tl 3.580 -2.397 1.191
S 2.348 -2.067 4.090
Pb 2.222 3.582 0.537
S 4.287 -5.486 1.236
S 4.612 1.509 4.487
S 4.985 4.096 1.657
Cs 3.362 -5.270 4.452
Pb -0.218 -2.872 3.260
S 2.873 0.692 1.147
Pb 2.003 0.710 3.797
S 2.176 -8.891 0.726
Cs 1.577 -3.107 -2.605
S 2.549 -6.304 -2.104
Pb 1.359 -5.979 0.655
```

---

# 10
CsTlPbS2 after structural relaxation, computed with GGA-PBE.

## Properties
For the total energy, the calculation gives -3.666 eV/atom.

extended XYZ file:
```
10
Lattice="-5.109 0.741 -0.538 1.241 -3.458 8.488 1.500 9.088 -1.725" Properties=species:S:1:pos:R:3 pbc="T T T"
Tl -2.716 1.650 3.029
Pb -2.582 4.556 5.751
S -0.119 3.052 5.328
S -2.250 3.319 0.896
S -2.108 6.670 4.161
Cs -0.660 -0.390 5.724
Tl 0.348 4.722 3.196
Pb 0.213 1.816 0.473
Cs -1.709 6.762 0.501
S -0.261 -0.299 2.064
```

---

# 11
CsTlPbS3 after structural relaxation, computed with GGA-PBE.

## Properties
For the total energy, the calculation gives -3.756 eV/atom.

extended XYZ file:
```
12
Lattice="-1.786 -0.022 -3.905 3.683 -9.118 -1.634 -9.522 -2.477 4.370" Properties=species:S:1:pos:R:3 pbc="T T T"
S -5.449 -2.715 -1.034
Cs -1.557 -1.991 -0.457
S -0.937 -4.118 -3.090
S -2.176 -8.902 -0.135
S 0.404 -8.227 -3.680
Tl -1.641 -9.121 -2.740
S -6.688 -7.499 1.921
S -8.029 -3.390 2.511
Pb 0.551 -5.931 -1.399
Tl -5.984 -2.496 1.571
Pb -8.176 -5.686 0.230
Cs -6.068 -9.626 -0.712
```

---

# 12
Cs3Tm2PbS6 after structural relaxation, computed with GGA-PBE.

## Properties
For the total energy, the calculation gives -4.744 eV/atom.

extended XYZ file:
```
12
Lattice="-4.040 5.531 2.031 -3.017 -6.343 -1.305 3.375 -1.805 7.462" Properties=species:S:1:pos:R:3 pbc="T T T"
S -2.458 -4.168 6.064
Tm -3.357 -2.392 -0.195
Pb 0.000 0.000 0.000
Cs -1.841 -1.309 4.094
S -2.816 -0.021 7.229
S -4.408 -0.906 1.872
Cs -2.186 2.698 5.220
S 0.727 -1.712 6.316
Tm -3.700 1.580 0.921
S -0.866 -2.597 0.958
Cs -1.495 -5.315 2.968
S -1.223 1.551 2.124
```